# 1
GGA-PBE YScGa3, relaxed; DOS at the Fermi energy = 0.676 states/eV per atom; calculated total energy = -5.01 eV per atom; E above lowest polymorph = 0.0 meV per atom; ΔE_f = -3.154 eV/f.u.
1.0
2.014 -12.522 0.000
2.014 12.522 0.000
0.000 0.000 4.117
Y Sc Ga
2 2 6
direct
0.075 0.925 0.750
0.925 0.075 0.250
0.205 0.795 0.250
0.795 0.205 0.750
0.318 0.682 0.250
0.377 0.623 0.750
0.475 0.525 0.750
0.525 0.475 0.250
0.623 0.377 0.250
0.682 0.318 0.750



# 2
GGA-PBE ZnCuPb2Cl, relaxed; DOS at the Fermi energy = 0.406 states/eV per atom; calculated total energy = -2.72 eV per atom; E_form (uncorrected) = 207 meV/atom
1.0
5.338 0.000 0.000
0.000 5.338 0.000
0.000 0.000 4.827
Zn Cu Pb Cl
1 1 2 1
direct
0.000 0.000 0.000
0.500 0.500 0.500
0.000 0.500 0.500
0.500 0.000 0.500
0.500 0.500 0.000



# 3
GGA-PBE Th6Rh3Se2S, relaxed; DOS at the Fermi energy = 1.077 states/eV per atom; calculated total energy = -7.70 eV per atom; E_form (uncorrected) = -1230 meV/atom
1.0
9.338 -2.048 0.000
9.338 2.048 0.000
-2.678 0.000 8.241
Th Rh Se S
6 3 2 1
direct
0.006 0.006 0.243
0.330 0.330 0.431
0.341 0.341 0.900
0.659 0.659 0.100
0.670 0.670 0.569
0.994 0.994 0.757
0.167 0.167 0.336
0.500 0.500 0.000
0.833 0.833 0.664
0.167 0.167 0.836
0.833 0.833 0.164
0.500 0.500 0.500



# 4
GGA-PBE RbHfI, relaxed; DOS at the Fermi energy = 0.578 states/eV per atom; calculated total energy = -4.40 eV per atom; E_form (uncorrected) = -239 meV/atom; E above lowest polymorph = 0.0 meV per atom
1.0
4.117 0.000 0.000
0.000 4.020 0.000
-1.083 0.000 13.187
Rb Hf I
2 2 2
direct
0.000 0.000 0.000
0.093 0.000 0.353
0.180 0.000 0.652
0.658 0.500 0.598
0.452 0.500 0.816
0.544 0.500 0.169



# 5
GGA-PBE Zn2Pb2F, relaxed; DOS at the Fermi energy = 1.935 states/eV per atom; calculated total energy = -2.78 eV per atom; E_form (uncorrected) = -415 meV/atom; E above lowest polymorph = 0.0 meV per atom
1.0
7.170 0.000 0.000
0.000 7.170 0.000
0.000 0.000 4.582
Zn Pb F
4 4 2
direct
0.128 0.372 0.000
0.372 0.872 0.000
0.628 0.128 0.000
0.872 0.628 0.000
0.187 0.687 0.500
0.313 0.187 0.500
0.687 0.813 0.500
0.813 0.313 0.500
0.000 0.000 0.500
0.500 0.500 0.500



# 6
GGA-PBE AcSmTmMg, relaxed; DOS at the Fermi energy = 1.150 states/eV per atom; calculated total energy = -3.68 eV per atom; ΔE_f = 0.157 eV/f.u.
1.0
0.000 4.041 4.041
4.041 0.000 4.041
4.041 4.041 0.000
Ac Sm Tm Mg
1 1 1 1
direct
0.000 0.000 0.000
0.500 0.500 0.500
0.250 0.250 0.250
0.750 0.750 0.750